Record 1
First-principles (PBE) data for a geometry-optimized BaHgAu2 structure, as listed in OQMD.

Structure (extended XYZ):
```
4
Lattice="-2.532 -2.412 -3.993 -4.431 2.127 -2.003 0.046 2.147 -4.854" Properties=species:S:1:pos:R:3 pbc="T T T"
Hg -1.729 0.465 -2.712
Au -5.187 1.396 -8.137
Au 0.000 0.000 0.000
Ba -3.458 0.931 -5.425
```

Values from the calculation:
Total DFT energy (no corrections)   -10.398 eV for the cell shown
Space group   No. 216

Record 2
First-principles (PBE) data for a geometry-optimized YTmHf2Sb2 structure, as listed in OQMD.

Structure (extended XYZ):
```
6
Lattice="-2.125 2.125 8.216 2.125 -2.125 8.216 2.125 2.125 -8.216" Properties=species:S:1:pos:R:3 pbc="T T T"
Hf 2.125 0.000 0.009
Hf 0.000 2.125 0.009
Sb 0.000 0.000 14.256
Sb 0.000 0.000 2.183
Y 0.000 0.000 5.314
Tm 0.000 0.000 11.094
```

Values from the calculation:
Size of the total moment   0.01 Bohr magnetons per cell
Total DFT energy (no corrections)   -43.304 eV for the cell shown
Space group   No. 107

Record 3
First-principles (PBE) data for a geometry-optimized Ho3Si3Pt2 structure, as listed in OQMD.

Structure (extended XYZ):
```
16
Lattice="2.136 -5.153 0.000 2.136 5.153 0.000 0.000 0.000 14.113" Properties=species:S:1:pos:R:3 pbc="T T T"
Pt 2.136 -2.015 12.684
Pt 2.136 2.015 1.429
Pt 2.136 2.015 5.627
Pt 2.136 -2.015 8.486
Ho 2.136 -0.935 1.571
Ho 2.136 3.815 10.585
Ho 2.136 -0.935 5.486
Ho 2.136 0.935 12.542
Ho 2.136 0.935 8.627
Ho 2.136 -3.815 3.528
Si 2.136 3.993 13.620
Si 2.136 3.452 3.528
Si 2.136 -3.993 0.493
Si 2.136 -3.452 10.585
Si 2.136 -3.993 6.564
Si 2.136 3.993 7.549
```

Values from the calculation:
Size of the total moment   0.02 Bohr magnetons per cell
Total DFT energy (no corrections)   -102.042 eV for the cell shown
Space group   No. 63

Record 4
First-principles (PBE) data for a geometry-optimized RbZr2 structure, as listed in OQMD.

Structure (extended XYZ):
```
3
Lattice="-1.630 1.630 9.117 1.630 -1.630 9.117 1.630 1.630 -9.117" Properties=species:S:1:pos:R:3 pbc="T T T"
Rb 0.000 0.000 0.000
Zr 0.000 0.000 5.561
Zr 0.000 0.000 12.674
```

Values from the calculation:
Size of the total moment   0.01 Bohr magnetons per cell
Space group   No. 139
Distance to the lowest polymorph of the same formula   0.05 eV per formula unit

| no. | ρ (g/cm3) |
| --- | --- |
| 1 | 11.5 |
| 2 | 9.6 |
| 3 | 10.4 |
| 4 | 4.6 |